No. 1
The following is a PBE calculation of Sc5S5O2 after structural relaxation, from the Alexandria database.

a b c (Å): 3.5041 6.0766 10.1052
angles (deg): 104.91 90.00 106.76
With the nearest neighbours (Å) after each atom.
Element x y z (fractional)
Sc1 0.0999 0.1997 0.3846  1 O 2.07
Sc2 0.6633 0.3266 0.7978  2 O 2.28
Sc3 0.3367 0.6734 0.2022  2 O 2.28
Sc4 0.9001 0.8003 0.6154  1 O 2.07
Sc5 0.0000 0.0000 0.0000  2 O 2.23
S1 0.5000 0.0000 0.5000  4 Sc 2.55
S2 0.6631 0.3262 0.0561  5 Sc 2.53-2.78
S3 0.7539 0.5078 0.3587  5 Sc 2.57-2.70
S4 0.2461 0.4922 0.6414  5 Sc 2.57-2.70
S5 0.3369 0.6738 0.9439  5 Sc 2.53-2.78
O1 0.0379 0.0758 0.7948  4 Sc 2.07-2.28
O2 0.9621 0.9242 0.2052  4 Sc 2.07-2.28

Results
VASP energy = -7.447 eV per atom
SG = C2/m, No. 12
DOS at the Fermi energy = 1.644 states/eV/cell
raw formation energy = -2.26 eV per atom

No. 2
The following is a PBE calculation of SiTe2Ir after structural relaxation, from the Alexandria database.

a b c (Å): 4.8293 4.8275 4.8264
angles (deg): 69.59 72.42 110.44
With the nearest neighbours (Å) after each atom.
Element x y z (fractional)
Ir1 0.0000 0.5000 0.5000  4 Te 2.75, 2 Si 2.85
Si1 0.5000 0.5000 0.0000  4 Te 2.75, 2 Ir 2.85
Te1 0.0000 0.0000 0.0000  2 Ir 2.75, 2 Si 2.75, 2 Te 2.85
Te2 0.5000 0.0000 0.5000  2 Si 2.75, 2 Ir 2.75, 2 Te 2.85

Results
VASP energy = -4.797 eV per atom
SG = I4/mmm, No. 139
DOS at the Fermi energy = 2.693 states/eV/cell
raw formation energy = 0.34 eV per atom

No. 3
The following is a PBE calculation of La2InRe after structural relaxation, from the Alexandria database.

a b c (Å): 6.6007 6.6007 5.1656
angles (deg): 66.99 66.99 31.48
With the nearest neighbours (Å) after each atom.
Element x y z (fractional)
In1 0.8053 0.8053 0.6946  2 Re 2.80
La1 0.0065 0.0065 0.9936  4 Re 3.15, 2 La 3.41, 2 In 3.48
La2 0.1979 0.1979 0.3019  2 Re 3.00
Re1 0.4903 0.4903 0.5099  2 In 2.80, 2 La 3.00

Results
VASP energy = -6.159 eV per atom
SG = Imm2, No. 44
formation enthalpy at 0 K = 0.4 eV/f.u.
DOS at the Fermi energy = 3.321 states/eV/cell

No. 4
The following is a PBE calculation of Tb6NdDy5 after structural relaxation, from the Alexandria database.

a b c (Å): 6.1692 6.1659 11.8117
angles (deg): 85.03 80.02 59.98
With the nearest neighbours (Å) after each atom.
Element x y z (fractional)
Nd1 0.0000 0.0000 0.0000  6 Dy 3.56, 6 Tb 3.58
Tb1 0.5827 0.3340 0.2514  5 Dy 3.55-3.57, 6 Tb 3.56-3.57, 1 Nd 3.58
Tb2 0.0833 0.3340 0.7486  5 Dy 3.55-3.57, 6 Tb 3.56-3.57, 1 Nd 3.58
Tb3 0.7493 0.0000 0.7487  5 Dy 3.54-3.57, 6 Tb 3.56-3.57, 1 Nd 3.58
Tb4 0.2507 0.0000 0.2513  5 Dy 3.54-3.57, 6 Tb 3.56-3.57, 1 Nd 3.58
Tb5 0.9167 0.6660 0.2514  5 Dy 3.55-3.57, 6 Tb 3.56-3.57, 1 Nd 3.58
Tb6 0.4173 0.6660 0.7486  5 Dy 3.55-3.57, 6 Tb 3.56-3.57, 1 Nd 3.58
Dy1 0.1669 0.6662 0.5000  6 Tb 3.55, 6 Dy 3.56
Dy2 0.3333 0.3334 0.0000  3 Nd 3.56, 3 Dy 3.56, 6 Tb 3.57
Dy3 0.5000 0.0000 0.5000  6 Tb 3.54-3.55, 6 Dy 3.56
Dy4 0.6667 0.6666 0.0000  3 Nd 3.56, 3 Dy 3.56, 6 Tb 3.57
Dy5 0.8331 0.3338 0.5000  6 Tb 3.55, 6 Dy 3.56

Results
VASP energy = -4.615 eV per atom
SG = C2/m, No. 12
formation enthalpy at 0 K = 0.2 eV/f.u.
DOS at the Fermi energy = 14.978 states/eV/cell

No. 5
The following is a PBE calculation of Fe4Ir5Pt after structural relaxation, from the Alexandria database.

a b c (Å): 4.2796 6.4233 6.4233
angles (deg): 89.69 70.54 70.54
With the nearest neighbours (Å) after each atom.
Element x y z (fractional)
Fe1 0.0789 0.6711 0.6711  4 Ir 2.54-2.71, 1 Pt 2.64, 1 Fe 2.75
Fe2 0.2500 0.8290 0.1710  2 Pt 2.64, 6 Ir 2.65-2.76
Fe3 0.2500 0.1710 0.8290  2 Pt 2.64, 6 Ir 2.65-2.76
Fe4 0.4211 0.3289 0.3289  4 Ir 2.54-2.71, 1 Pt 2.64, 1 Fe 2.75
Ir1 0.5845 0.4275 0.9035  4 Ir 2.53-2.66, 4 Fe 2.65-2.76, 1 Pt 2.72
Ir2 0.5845 0.9035 0.4275  4 Ir 2.53-2.66, 4 Fe 2.65-2.76, 1 Pt 2.72
Ir3 0.7500 0.5000 0.5000  4 Ir 2.53, 4 Fe 2.54
Ir4 0.9155 0.0965 0.5725  4 Ir 2.53-2.66, 4 Fe 2.65-2.76, 1 Pt 2.72
Ir5 0.9155 0.5725 0.0965  4 Ir 2.53-2.66, 4 Fe 2.65-2.76, 1 Pt 2.72
Pt1 0.7500 0.0000 0.0000  6 Fe 2.64, 4 Ir 2.72

Results
VASP energy = -8.125 eV per atom
SG = Immm, No. 71
formation enthalpy at 0 K = 2.9 eV/f.u.
DOS at the Fermi energy = 12.357 states/eV/cell

No. 6
The following is a PBE calculation of Y2SnTe after structural relaxation, from the Alexandria database.

a b c (Å): 6.2032 6.2032 12.4484
angles (deg): 90.00 90.00 90.00
With the nearest neighbours (Å) after each atom.
Element x y z (fractional)
Y1 0.7498 0.9999 0.8714  3 Sn 3.07-3.10, 3 Te 3.10-3.16
Y2 0.2502 0.0001 0.1286  3 Sn 3.07-3.10, 3 Te 3.10-3.16
Y3 0.7498 0.5001 0.6286  3 Sn 3.07-3.10, 3 Te 3.10-3.16
Y4 0.2502 0.4999 0.3714  3 Sn 3.07-3.10, 3 Te 3.10-3.16
Y5 0.7505 0.5001 0.1215  3 Sn 3.07-3.10, 3 Te 3.10-3.16
Y6 0.2495 0.4999 0.8785  3 Sn 3.07-3.10, 3 Te 3.10-3.16
Y7 0.7505 0.9999 0.3785  3 Sn 3.07-3.10, 3 Te 3.10-3.16
Y8 0.2495 0.0001 0.6215  3 Sn 3.07-3.10, 3 Te 3.10-3.16
Sn1 0.2504 0.9999 0.3750  6 Y 3.07-3.10
Sn2 0.7496 0.0001 0.6250  6 Y 3.07-3.10
Sn3 0.2504 0.5001 0.1250  6 Y 3.07-3.10
Sn4 0.7496 0.4999 0.8750  6 Y 3.07-3.10
Te1 0.2498 0.5001 0.6250  6 Y 3.10-3.16
Te2 0.7502 0.4999 0.3750  6 Y 3.10-3.16
Te3 0.2498 0.9999 0.8750  6 Y 3.10-3.16
Te4 0.7502 0.0001 0.1250  6 Y 3.10-3.16

Results
VASP energy = -6.111 eV per atom
distance to the lowest polymorph of the same formula = 0 meV per atom
SG = Pmna, No. 53
DOS at the Fermi energy = 3.202 states/eV/cell
raw formation energy = -1.09 eV per atom